Record 1
# BeRe4 | the Alexandria database | PBE | relaxed
# **Formation energy**: 3.2 eV/f.u.
# **Crystal system**: cubic
data_BeRe4
_chemical_formula_sum 'Be1 Re4'
_cell_length_a 4.118
_cell_length_b 4.118
_cell_length_c 4.118
_cell_angle_alpha 90.00
_cell_angle_beta 90.00
_cell_angle_gamma 90.00
_symmetry_space_group_name_H-M 'P m -3 m'
_symmetry_Int_Tables_number 221
_symmetry_space_group_name_Hall '-P 4 2 3'
loop_
_atom_site_label
_atom_site_type_symbol
_atom_site_fract_x
_atom_site_fract_y
_atom_site_fract_z
Be1 Be 0.000 0.000 0.000
Re1 Re 0.000 0.000 0.500
Re2 Re 0.500 0.500 0.500

Record 2
# ZrCo10B3 | the Alexandria database | PBE | relaxed
# **Formation energy**: -3.4 eV/f.u.
# **Crystal system**: cubic
data_ZrCo10B3
_chemical_formula_sum 'Zr8 Co80 B24'
_cell_length_a 10.545
_cell_length_b 10.545
_cell_length_c 10.545
_cell_angle_alpha 90.00
_cell_angle_beta 90.00
_cell_angle_gamma 90.00
_symmetry_space_group_name_H-M 'F m -3 m'
_symmetry_Int_Tables_number 225
_symmetry_space_group_name_Hall '-F 4 2 3'
loop_
_atom_site_label
_atom_site_type_symbol
_atom_site_fract_x
_atom_site_fract_y
_atom_site_fract_z
Zr1 Zr 0.250 0.250 0.250
Co1 Co 0.000 0.168 0.168
Co2 Co 0.114 0.114 0.386
B1 B 0.000 0.000 0.273

Record 3
# Y5ZnAg2 | the Alexandria database | PBE | relaxed
# **Formation energy**: -1.6 eV/f.u.
# **Crystal system**: orthorhombic
data_Y5ZnAg2
_chemical_formula_sum 'Y10 Zn2 Ag4'
_cell_length_a 6.519
_cell_length_b 12.637
_cell_length_c 5.066
_cell_angle_alpha 90.00
_cell_angle_beta 90.00
_cell_angle_gamma 90.00
_symmetry_space_group_name_H-M 'P b a m'
_symmetry_Int_Tables_number 55
loop_
_symmetry_equiv_pos_as_xyz
'x,y,z'
'-x,-y,-z'
'-x,-y,z'
'x,y,-z'
'x+1/2,-y+1/2,-z'
'-x+1/2,y+1/2,z'
'-x+1/2,y+1/2,-z'
'x+1/2,-y+1/2,z'
loop_
_atom_site_label
_atom_site_type_symbol
_atom_site_fract_x
_atom_site_fract_y
_atom_site_fract_z
Y1 Y 0.000 0.000 0.000
Y2 Y 0.145 0.282 0.000
Y3 Y 0.169 0.609 0.500
Zn1 Zn 0.000 0.500 0.000
Ag1 Ag 0.126 0.861 0.500

Record 4
# BaInHgAu | the Alexandria database | PBE | relaxed
# **Formation energy**: -1.7 eV/f.u.
# **Crystal system**: cubic
data_BaInHgAu
_chemical_formula_sum 'Ba4 In4 Hg4 Au4'
_cell_length_a 7.730
_cell_length_b 7.730
_cell_length_c 7.730
_cell_angle_alpha 90.00
_cell_angle_beta 90.00
_cell_angle_gamma 90.00
_symmetry_space_group_name_H-M 'F -4 3 m'
_symmetry_Int_Tables_number 216
_symmetry_space_group_name_Hall 'F -4 2 3'
loop_
_atom_site_label
_atom_site_type_symbol
_atom_site_fract_x
_atom_site_fract_y
_atom_site_fract_z
Ba1 Ba 0.000 0.000 0.000
In1 In 0.000 0.000 0.500
Hg1 Hg 0.250 0.250 0.750
Au1 Au 0.250 0.250 0.250

Record 5
# HfScAlIn | the Alexandria database | PBE | relaxed
# **Formation energy**: -0.8 eV/f.u.
# **Crystal system**: cubic
data_HfScAlIn
_chemical_formula_sum 'Hf4 Sc4 Al4 In4'
_cell_length_a 6.921
_cell_length_b 6.921
_cell_length_c 6.921
_cell_angle_alpha 90.00
_cell_angle_beta 90.00
_cell_angle_gamma 90.00
_symmetry_space_group_name_H-M 'F -4 3 m'
_symmetry_Int_Tables_number 216
_symmetry_space_group_name_Hall 'F -4 2 3'
loop_
_atom_site_label
_atom_site_type_symbol
_atom_site_fract_x
_atom_site_fract_y
_atom_site_fract_z
Hf1 Hf 0.000 0.000 0.000
Sc1 Sc 0.000 0.000 0.500
Al1 Al 0.250 0.250 0.250
In1 In 0.250 0.250 0.750

Record 6
# LaZn3Ir | the Alexandria database | PBE | relaxed
# **Formation energy**: -2.0 eV/f.u.
# **Crystal system**: orthorhombic
data_LaZn3Ir
_chemical_formula_sum 'La4 Zn12 Ir4'
_cell_length_a 5.997
_cell_length_b 11.517
_cell_length_c 5.632
_cell_angle_alpha 90.00
_cell_angle_beta 90.00
_cell_angle_gamma 90.00
_symmetry_space_group_name_H-M 'C m c m'
_symmetry_Int_Tables_number 63
_symmetry_space_group_name_Hall '-C 2c 2'
loop_
_atom_site_label
_atom_site_type_symbol
_atom_site_fract_x
_atom_site_fract_y
_atom_site_fract_z
La1 La 0.000 0.244 0.250
Zn1 Zn 0.000 0.367 0.750
Zn2 Zn 0.239 0.000 0.000
Ir1 Ir 0.000 0.145 0.750

Record 7
# BeRu | the Alexandria database | PBE | relaxed
# **Formation energy**: 0.5 eV/f.u.
# **Crystal system**: orthorhombic
data_BeRu
_chemical_formula_sum 'Be4 Ru4'
_cell_length_a 2.810
_cell_length_b 4.392
_cell_length_c 7.730
_cell_angle_alpha 90.00
_cell_angle_beta 90.00
_cell_angle_gamma 90.00
_symmetry_space_group_name_H-M 'C m m e'
_symmetry_Int_Tables_number 67
_symmetry_space_group_name_Hall '-C 2a 2'
loop_
_atom_site_label
_atom_site_type_symbol
_atom_site_fract_x
_atom_site_fract_y
_atom_site_fract_z
Be1 Be 0.000 0.250 0.115
Ru1 Ru 0.000 0.250 0.649

Record 8
# LaZnGaPd3 | the Alexandria database | PBE | relaxed
# **Formation energy**: -3.5 eV/f.u.
# **Crystal system**: orthorhombic
data_LaZnGaPd3
_chemical_formula_sum 'La4 Zn4 Ga4 Pd12'
_cell_length_a 6.770
_cell_length_b 12.206
_cell_length_c 5.800
_cell_angle_alpha 90.00
_cell_angle_beta 90.00
_cell_angle_gamma 90.00
_symmetry_space_group_name_H-M 'C m c m'
_symmetry_Int_Tables_number 63
_symmetry_space_group_name_Hall '-C 2c 2'
loop_
_atom_site_label
_atom_site_type_symbol
_atom_site_fract_x
_atom_site_fract_y
_atom_site_fract_z
La1 La 0.000 0.209 0.250
Zn1 Zn 0.000 0.459 0.250
Ga1 Ga 0.000 0.127 0.750
Pd1 Pd 0.000 0.330 0.750
Pd2 Pd 0.208 0.000 0.000

Record 9
# Na2HgAsCl6 | the Alexandria database | PBE | relaxed
# **E_form (uncorrected)**: -961 kJ/mol of formula units
# **Crystal system**: triclinic
data_Na2HgAsCl6
_chemical_formula_sum 'Na2 Hg1 As1 Cl6'
_cell_length_a 6.997
_cell_length_b 7.000
_cell_length_c 7.561
_cell_angle_alpha 62.50
_cell_angle_beta 62.55
_cell_angle_gamma 60.06
_symmetry_space_group_name_H-M 'P 1'
_symmetry_Int_Tables_number 1
loop_
_symmetry_equiv_pos_as_xyz
'x,y,z'
loop_
_atom_site_label
_atom_site_type_symbol
_atom_site_fract_x
_atom_site_fract_y
_atom_site_fract_z
Na1 Na 0.000 0.000 0.000
Na2 Na 0.487 0.487 0.537
Hg1 Hg 0.192 0.192 0.425
As1 As 0.683 0.683 0.950
Cl1 Cl 0.042 0.783 0.731
Cl2 Cl 0.319 0.597 0.193
Cl3 Cl 0.443 0.042 0.730
Cl4 Cl 0.597 0.890 0.193
Cl5 Cl 0.782 0.443 0.731
Cl6 Cl 0.890 0.321 0.193

Record 10
# Tl2RuPb | the Alexandria database | PBE | relaxed
# **Formation energy**: 2.5 eV/f.u.
# **Crystal system**: tetragonal
data_Tl2RuPb
_chemical_formula_sum 'Tl4 Ru2 Pb2'
_cell_length_a 4.621
_cell_length_b 4.621
_cell_length_c 8.838
_cell_angle_alpha 90.00
_cell_angle_beta 90.00
_cell_angle_gamma 90.00
_symmetry_space_group_name_H-M 'I -4 m 2'
_symmetry_Int_Tables_number 119
_symmetry_space_group_name_Hall 'I -4 -2'
loop_
_atom_site_label
_atom_site_type_symbol
_atom_site_fract_x
_atom_site_fract_y
_atom_site_fract_z
Tl1 Tl 0.000 0.000 0.000
Tl2 Tl 0.000 0.500 0.250
Ru1 Ru 0.000 0.000 0.500
Pb1 Pb 0.000 0.500 0.750

Record 11
# Th2CdPt9 | the Alexandria database | PBE | relaxed
# **Formation energy**: -9.9 eV/f.u.
# **Crystal system**: tetragonal
data_Th2CdPt9
_chemical_formula_sum 'Th2 Cd1 Pt9'
_cell_length_a 4.194
_cell_length_b 4.194
_cell_length_c 12.409
_cell_angle_alpha 90.00
_cell_angle_beta 90.00
_cell_angle_gamma 90.00
_symmetry_space_group_name_H-M 'P 4/m m m'
_symmetry_Int_Tables_number 123
_symmetry_space_group_name_Hall '-P 4 2'
loop_
_atom_site_label
_atom_site_type_symbol
_atom_site_fract_x
_atom_site_fract_y
_atom_site_fract_z
Th1 Th 0.000 0.000 0.174
Cd1 Cd 0.000 0.000 0.500
Pt1 Pt 0.000 0.500 0.000
Pt2 Pt 0.000 0.500 0.341
Pt3 Pt 0.500 0.500 0.170
Pt4 Pt 0.500 0.500 0.500

Record 12
# LiReAg2 | the Alexandria database | PBE | relaxed
# **Formation energy**: 3.0 eV/f.u.
# **Crystal system**: tetragonal
data_LiReAg2
_chemical_formula_sum 'Li2 Re2 Ag4'
_cell_length_a 4.009
_cell_length_b 4.009
_cell_length_c 8.075
_cell_angle_alpha 90.00
_cell_angle_beta 90.00
_cell_angle_gamma 90.00
_symmetry_space_group_name_H-M 'I -4 m 2'
_symmetry_Int_Tables_number 119
_symmetry_space_group_name_Hall 'I -4 -2'
loop_
_atom_site_label
_atom_site_type_symbol
_atom_site_fract_x
_atom_site_fract_y
_atom_site_fract_z
Li1 Li 0.000 0.000 0.000
Re1 Re 0.000 0.500 0.750
Ag1 Ag 0.000 0.000 0.500
Ag2 Ag 0.000 0.500 0.250

Record 13
# Tb2Sm5Y4 | the Alexandria database | PBE | relaxed
# **Formation energy**: 2.4 eV/f.u.
# **Crystal system**: orthorhombic
data_Tb2Sm5Y4
_chemical_formula_sum 'Tb4 Sm10 Y8'
_cell_length_a 3.535
_cell_length_b 9.135
_cell_length_c 23.506
_cell_angle_alpha 90.00
_cell_angle_beta 90.00
_cell_angle_gamma 90.00
_symmetry_space_group_name_H-M 'I m m m'
_symmetry_Int_Tables_number 71
_symmetry_space_group_name_Hall '-I 2 2'
loop_
_atom_site_label
_atom_site_type_symbol
_atom_site_fract_x
_atom_site_fract_y
_atom_site_fract_z
Tb1 Tb 0.000 0.000 0.231
Sm1 Sm 0.000 0.199 0.354
Sm2 Sm 0.000 0.500 0.000
Y1 Y 0.000 0.000 0.098
Y2 Y 0.000 0.311 0.500

Record 14
# CrFeMo | the Alexandria database | PBE | relaxed
# **Formation energy**: 0.5 eV/f.u.
# **Crystal system**: trigonal
data_CrFeMo
_chemical_formula_sum 'Cr1 Fe1 Mo1'
_cell_length_a 4.2244
_cell_length_b 4.2244
_cell_length_c 2.5422
_cell_angle_alpha 90.00
_cell_angle_beta 90.00
_cell_angle_gamma 120.00
_symmetry_space_group_name_H-M 'P 3 m 1'
_symmetry_Int_Tables_number 156
loop_
_symmetry_equiv_pos_as_xyz
'x,y,z'
'-y,x-y,z'
'-x+y,-x,z'
'-y,-x,z'
'-x+y,y,z'
'x,x-y,z'
loop_
_atom_site_label
_atom_site_type_symbol
_atom_site_fract_x
_atom_site_fract_y
_atom_site_fract_z
Cr1 Cr 0.0000 0.0000 0.0000
Fe1 Fe 0.6667 0.3333 0.3388
Mo1 Mo 0.3333 0.6667 0.6847

Record 15
# ScBiSe2Br | the Alexandria database | PBE | relaxed
# **E_form (uncorrected)**: 20 kJ/mol of formula units
# **Crystal system**: tetragonal
data_ScBiSe2Br
_chemical_formula_sum 'Sc1 Bi1 Se2 Br1'
_cell_length_a 5.579
_cell_length_b 5.579
_cell_length_c 5.469
_cell_angle_alpha 90.00
_cell_angle_beta 90.00
_cell_angle_gamma 90.00
_symmetry_space_group_name_H-M 'P 4/m m m'
_symmetry_Int_Tables_number 123
_symmetry_space_group_name_Hall '-P 4 2'
loop_
_atom_site_label
_atom_site_type_symbol
_atom_site_fract_x
_atom_site_fract_y
_atom_site_fract_z
Sc1 Sc 0.000 0.000 0.000
Bi1 Bi 0.500 0.500 0.500
Se1 Se 0.000 0.500 0.500
Br1 Br 0.500 0.500 0.000

Record 16
# BaNaHg2 | the Alexandria database | PBE | relaxed
# **Formation energy**: -1.2 eV/f.u.
# **Crystal system**: trigonal
data_BaNaHg2
_chemical_formula_sum 'Ba3 Na3 Hg6'
_cell_length_a 5.2107
_cell_length_b 5.2107
_cell_length_c 16.8545
_cell_angle_alpha 90.00
_cell_angle_beta 90.00
_cell_angle_gamma 120.00
_symmetry_space_group_name_H-M 'R 3 m'
_symmetry_Int_Tables_number 160
_symmetry_space_group_name_Hall 'R 3 -2"'
loop_
_atom_site_label
_atom_site_type_symbol
_atom_site_fract_x
_atom_site_fract_y
_atom_site_fract_z
Ba1 Ba 0.0000 0.0000 0.0000
Na1 Na 0.0000 0.0000 0.2061
Hg1 Hg 0.0000 0.0000 0.5342
Hg2 Hg 0.0000 0.0000 0.7873

Record 17
# Ho4CuNi | the Alexandria database | PBE | relaxed
# **Formation energy**: -0.2 eV/f.u.
# **Crystal system**: monoclinic
data_Ho4CuNi
_chemical_formula_sum 'Ho16 Cu4 Ni4'
_cell_length_a 12.092
_cell_length_b 9.335
_cell_length_c 7.704
_cell_angle_alpha 90.00
_cell_angle_beta 129.47
_cell_angle_gamma 90.00
_symmetry_space_group_name_H-M 'C 1 m 1'
_symmetry_Int_Tables_number 8
loop_
_symmetry_equiv_pos_as_xyz
'x,y,z'
'x,-y,z'
'x+1/2,y+1/2,z'
'x+1/2,-y+1/2,z'
loop_
_atom_site_label
_atom_site_type_symbol
_atom_site_fract_x
_atom_site_fract_y
_atom_site_fract_z
Ho1 Ho 0.000 0.000 0.000
Ho2 Ho 0.010 0.000 0.497
Ho3 Ho 0.211 0.298 0.949
Ho4 Ho 0.212 0.288 0.462
Ho5 Ho 0.413 0.000 0.900
Ho6 Ho 0.423 0.000 0.423
Cu1 Cu 0.212 0.000 0.960
Cu2 Cu 0.212 0.500 0.210
Ni1 Ni 0.212 0.000 0.450
Ni2 Ni 0.212 0.500 0.700

Record 18
# Mn2VGeC | the Alexandria database | PBE | relaxed
# **Formation energy**: -0.6 eV/f.u.
# **Crystal system**: tetragonal
data_Mn2VGeC
_chemical_formula_sum 'Mn2 V1 Ge1 C1'
_cell_length_a 3.809
_cell_length_b 3.809
_cell_length_c 4.141
_cell_angle_alpha 90.00
_cell_angle_beta 90.00
_cell_angle_gamma 90.00
_symmetry_space_group_name_H-M 'P 4/m m m'
_symmetry_Int_Tables_number 123
_symmetry_space_group_name_Hall '-P 4 2'
loop_
_atom_site_label
_atom_site_type_symbol
_atom_site_fract_x
_atom_site_fract_y
_atom_site_fract_z
Mn1 Mn 0.000 0.500 0.000
V1 V 0.000 0.000 0.500
Ge1 Ge 0.500 0.500 0.500
C1 C 0.000 0.000 0.000

Record 19
# CsRbPd3 | the Alexandria database | PBE | relaxed
# **Formation energy**: 4.5 eV/f.u.
# **Crystal system**: cubic
data_CsRbPd3
_chemical_formula_sum 'Cs1 Rb1 Pd3'
_cell_length_a 5.569
_cell_length_b 5.569
_cell_length_c 5.569
_cell_angle_alpha 90.00
_cell_angle_beta 90.00
_cell_angle_gamma 90.00
_symmetry_space_group_name_H-M 'P m -3 m'
_symmetry_Int_Tables_number 221
_symmetry_space_group_name_Hall '-P 4 2 3'
loop_
_atom_site_label
_atom_site_type_symbol
_atom_site_fract_x
_atom_site_fract_y
_atom_site_fract_z
Cs1 Cs 0.000 0.000 0.000
Rb1 Rb 0.500 0.500 0.500
Pd1 Pd 0.000 0.000 0.500

Record 20
# Rb3AlF | the Alexandria database | PBE | relaxed
# **E_form (uncorrected)**: -379 kJ/mol of formula units
# **Crystal system**: cubic
data_Rb3AlF
_chemical_formula_sum 'Rb3 Al1 F1'
_cell_length_a 5.763
_cell_length_b 5.763
_cell_length_c 5.763
_cell_angle_alpha 90.00
_cell_angle_beta 90.00
_cell_angle_gamma 90.00
_symmetry_space_group_name_H-M 'P m -3 m'
_symmetry_Int_Tables_number 221
_symmetry_space_group_name_Hall '-P 4 2 3'
loop_
_atom_site_label
_atom_site_type_symbol
_atom_site_fract_x
_atom_site_fract_y
_atom_site_fract_z
Rb1 Rb 0.000 0.000 0.500
Al1 Al 0.500 0.500 0.500
F1 F 0.000 0.000 0.000